Below is LiNi2Cl after structural relaxation, with properties calculated at the PBE-GGA level.

Unit cell a=6.907 b=6.907 c=6.907 alpha=154.22 beta=152.71 gamma=37.90
Positions (direct):
Li 0.000 0.000 0.000
Ni 0.281 0.781 0.500
Ni 0.719 0.219 0.500
Cl 0.500 0.500 0.000

Calculated values
- N(E_F): 5.54 states/eV per cell
- Uncorrected formation energy: -0.118 eV per atom
- Total magnetization: 1.6 μB/f.u.
- Electronic total energy: -3.9488 eV/atom


Below is MgUGa4Co2 after structural relaxation, with properties calculated at the PBE-GGA level.

Unit cell a=3.751 b=3.751 c=10.069 alpha=90.00 beta=90.00 gamma=90.00
Positions (direct):
Mg 0.000 0.000 0.000
U 0.000 0.000 0.500
Ga 0.000 0.500 0.223
Ga 0.000 0.500 0.777
Ga 0.500 0.000 0.223
Ga 0.500 0.000 0.777
Co 0.500 0.500 0.387
Co 0.500 0.500 0.613

Calculated values
- N(E_F): 9.76 states/eV per cell
- Total magnetization: 1.4 μB/f.u.
- Calculated formation energy: -0.101 eV/atom
- Electronic total energy: -5.0010 eV/atom


Below is TiCrAg2Pb after structural relaxation, with properties calculated at the PBE-GGA level.

Unit cell a=5.233 b=5.233 c=5.333 alpha=90.00 beta=90.00 gamma=90.00
Positions (direct):
Ti 0.000 0.000 0.000
Cr 0.500 0.500 0.000
Ag 0.000 0.500 0.500
Ag 0.500 0.000 0.500
Pb 0.000 0.000 0.500

Calculated values
- N(E_F): 5.53 states/eV per cell
- Total magnetization: 3.2 μB/f.u.
- Calculated formation energy: 1.258 eV/atom
- Electronic total energy: -4.1283 eV/atom


Below is ReTc2W after structural relaxation, with properties calculated at the PBE-GGA level.

Unit cell a=5.194 b=5.194 c=5.194 alpha=145.14 beta=129.62 gamma=62.73
Positions (direct):
Re 0.000 0.000 0.000
Tc 0.259 0.759 0.500
Tc 0.526 0.526 0.000
W 0.765 0.265 0.500

Calculated values
- N(E_F): 3.89 states/eV per cell
- Total magnetization: 0.0 μB/f.u.
- Calculated formation energy: 0.141 eV/atom
- Electronic total energy: -11.3922 eV/atom


What did the first record say?
Below is LiNi2Cl after structural relaxation, with properties calculated at the PBE-GGA level.

Unit cell a=6.907 b=6.907 c=6.907 alpha=154.22 beta=152.71 gamma=37.90
Positions (direct):
Li 0.000 0.000 0.000
Ni 0.281 0.781 0.500
Ni 0.719 0.219 0.500
Cl 0.500 0.500 0.000

Calculated values
- N(E_F): 5.54 states/eV per cell
- Uncorrected formation energy: -0.118 eV per atom
- Total magnetization: 1.6 μB/f.u.
- Electronic total energy: -3.9488 eV/atom


Which formula does entry 2 have?
MgUGa4Co2